[1]
The following is a DFT calculation (PBE-GGA) of an optimized crystal structure of MgCo2Se.

## Properties
**Space group**: No. 47
**ΔE to the lowest computed polymorph**: 38.4 meV/atom

a = 3.8631 Å, b = 3.2948 Å, c = 4.9190 Å
α = 89.99°, β = 90.00°, γ = 90.00°
Atoms (fractional coordinates):
Co 0.0000 0.7501 0.0165
Co 0.0000 0.7499 0.4835
Mg 0.5000 0.2500 0.2500
Se 0.5000 0.7500 0.7500

---

[2]
The following is a DFT calculation (PBE-GGA) of an optimized crystal structure of MgCo3Se.

## Properties
**Space group**: No. 221
**ΔE to the lowest computed polymorph**: 0.0 meV/atom

a = 4.3379 Å, b = 4.3379 Å, c = 4.3379 Å
α = 90.00°, β = 90.00°, γ = 90.00°
Atoms (fractional coordinates):
Mg 0.5000 0.5000 0.5000
Co 0.0000 0.5000 0.0000
Co 0.0000 0.0000 0.5000
Co 0.5000 0.0000 0.0000
Se 0.0000 0.0000 0.0000

---

[3]
The following is a DFT calculation (PBE-GGA) of an optimized crystal structure of MgCo2Se2.

## Properties
**Space group**: No. 139
**ΔE to the lowest computed polymorph**: 0.0 meV/atom

a = 3.7051 Å, b = 3.7051 Å, c = 6.7933 Å
α = 74.17°, β = 74.17°, γ = 90.00°
Atoms (fractional coordinates):
Mg 0.0000 0.0000 0.0000
Co 0.7500 0.2500 0.5000
Co 0.2500 0.7500 0.5000
Se 0.3649 0.3649 0.2701
Se 0.6351 0.6351 0.7299

---

[4]
The following is a DFT calculation (PBE-GGA) of an optimized crystal structure of MgCo3Se.

## Properties
**Space group**: No. 221
**ΔE to the lowest computed polymorph**: 1014.4 meV/atom

a = 4.4244 Å, b = 4.4244 Å, c = 4.4244 Å
α = 90.00°, β = 90.00°, γ = 90.00°
Atoms (fractional coordinates):
Mg 0.0000 0.0000 0.0000
Co 0.0000 0.5000 0.0000
Co 0.0000 0.0000 0.5000
Co 0.5000 0.0000 0.0000
Se 0.5000 0.5000 0.5000

---

Number 1: total magnetic moment 2.4 μB per formula unit, total DFT energy (no corrections) -4.7482 eV/atom, raw formation energy 0.075 eV/atom. Number 2: total magnetic moment 3.0 μB per formula unit, total DFT energy (no corrections) -4.8758 eV/atom, raw formation energy 0.404 eV/atom. Number 3: total magnetic moment 1.2 μB per formula unit, total DFT energy (no corrections) -4.7466 eV/atom, raw formation energy -0.192 eV/atom. Number 4: total magnetic moment 4.8 μB per formula unit, total DFT energy (no corrections) -3.8614 eV/atom, raw formation energy 1.418 eV/atom.